Compound: YFe2Bi2Se2O4
Source: Alexandria
Functional: PBE+U
Structure: optimized geometry

VASP energy	-6.11	eV/atom
total moment	7.0	μB per cell

Lattice parameters (Å, degrees): 13.000 13.000 13.000 162.47 162.47 24.89
Last column: magnetic moment on the atom in μB.
Fractional positions:
Y (0.000, 0.000, 0.000)  0.00
Fe (0.750, 0.250, 0.500)  3.35
Fe (0.250, 0.750, 0.500)  3.35
Bi (0.402, 0.402, 0.000)  0.01
Bi (0.598, 0.598, 0.000)  0.01
Se (0.815, 0.815, 0.000)  0.05
Se (0.185, 0.185, 0.000)  0.05
O (0.054, 0.554, 0.500)  0.00
O (0.446, 0.946, 0.500)  0.00
O (0.554, 0.054, 0.500)  0.00
O (0.946, 0.446, 0.500)  0.00